The following is a DFT calculation (PBE-GGA) of a geometry-optimized NaZnAgI4 structure.

CIF file:
```
data_NaZnAgI4
_chemical_formula_sum 'Na2 Zn2 Ag2 I8'
_space_group_name_H-M_alt 'P 1'
_space_group_IT_number 1
_space_group_name_Hall 'P 1'
_cell_length_a 8.884
_cell_length_b 8.845
_cell_length_c 8.845
_cell_angle_alpha 59.09
_cell_angle_beta 59.86
_cell_angle_gamma 59.86
loop_
_atom_site_label
_atom_site_fract_x
_atom_site_fract_y
_atom_site_fract_z
_atom_site_occupancy
Na1 0.000 0.500 0.500 1
Na2 0.000 0.000 0.000 1
I1 0.745 0.250 0.259 1
I2 0.255 0.241 0.250 1
I3 0.745 0.759 0.750 1
I4 0.741 0.751 0.251 1
I5 0.258 0.751 0.251 1
I6 0.255 0.750 0.741 1
I7 0.742 0.249 0.749 1
I8 0.259 0.249 0.749 1
Ag1 0.000 0.000 0.500 1
Ag2 0.500 0.000 0.500 1
Zn1 0.624 0.626 0.126 1
Zn2 0.376 0.374 0.874 1
```

Properties
Space-group type   Imma


The following is a DFT calculation (PBE-GGA) of a geometry-optimized Na2ZnAgI structure.

CIF file:
```
data_Na2ZnAgI
_chemical_formula_sum 'Na2 Zn1 Ag1 I1'
_space_group_name_H-M_alt 'P 1'
_space_group_IT_number 1
_space_group_name_Hall 'P 1'
_cell_length_a 5.693
_cell_length_b 5.039
_cell_length_c 5.693
_cell_angle_alpha 90.00
_cell_angle_beta 90.00
_cell_angle_gamma 90.00
loop_
_atom_site_label
_atom_site_fract_x
_atom_site_fract_y
_atom_site_fract_z
_atom_site_occupancy
Na1 0.000 0.000 0.500 1
Na2 0.500 0.000 0.000 1
I1 0.500 0.500 0.500 1
Zn1 0.000 0.500 0.000 1
Ag1 0.000 0.000 0.000 1
```

Properties
Space-group type   P4/mmm


The following is a DFT calculation (PBE-GGA) of a geometry-optimized Nb2AgI structure.

CIF file:
```
data_Nb2AgI
_chemical_formula_sum 'Nb4 Ag2 I2'
_space_group_name_H-M_alt 'P 1'
_space_group_IT_number 1
_space_group_name_Hall 'P 1'
_cell_length_a 4.058
_cell_length_b 4.058
_cell_length_c 10.771
_cell_angle_alpha 79.14
_cell_angle_beta 79.14
_cell_angle_gamma 90.00
loop_
_atom_site_label
_atom_site_fract_x
_atom_site_fract_y
_atom_site_fract_z
_atom_site_occupancy
Nb1 0.135 0.625 0.250 1
Nb2 0.375 0.385 0.750 1
Nb3 0.615 0.125 0.250 1
Nb4 0.875 0.865 0.750 1
I1 0.750 0.250 0.500 1
I2 0.000 0.000 0.000 1
Ag1 0.500 0.500 0.000 1
Ag2 0.250 0.750 0.500 1
```

Properties
Space-group type   I-42d
Energy above the most stable polymorph in this dataset   0.104 eV/atom


no.,uncorrected energy (eV/f.u.),total magnetization (Bohr magnetons per cell),mass density (g/cm3)
1,-16.007,0.0,4.80
2,-9.328,0.0,3.52
3,-21.492,0.0,8.17